## Rb3NaCe2Se6 (GGA-PBE)

Data for a geometry-optimized Rb3NaCe2Se6 structure.

The space group is C2/m (No. 12) and the conventional cell measures 7.572, 13.111 and 8.307 Å, with angles of 90.00, 107.61 and 90.00 degrees. The asymmetric unit holds Rb at (0.000, 0.000, 0.000), Rb at (0.000, 0.342, 0.000), Na at (0.000, 0.500, 0.500), Ce at (0.000, 0.167, 0.500), Se at (0.208, 0.000, 0.694) and Se at (0.246, 0.321, 0.698).

The uncorrected formation energy is -1491 meV/atom.

## Rb4NaCe3Te8 (GGA-PBE)

Data for a geometry-optimized Rb4NaCe3Te8 structure.

The space group is C2/m (No. 12) and the conventional cell measures 16.204, 9.354 and 10.023 Å, with angles of 90.00, 122.64 and 90.00 degrees. The asymmetric unit holds Rb at (0.000, 0.000, 0.000), Rb at (0.000, 0.500, 0.000), Rb at (0.250, 0.250, 0.000), Na at (0.000, 0.000, 0.500), Ce at (0.000, 0.500, 0.500), Ce at (0.250, 0.250, 0.500), Te at (0.021, 0.261, 0.302), Te at (0.234, 0.500, 0.702) and Te at (0.241, 0.000, 0.699).

The uncorrected formation energy is -1222 meV/atom. For the density of states at the Fermi level, the calculation gives 12.78 states/eV/f.u.

## NaCeRh2 (GGA-PBE)

Data for a geometry-optimized NaCeRh2 structure.

The space group is P4/mmm (No. 123) and the conventional cell measures 3.460, 3.460 and 6.709 Å, with angles of 90.00, 90.00 and 90.00 degrees. The asymmetric unit holds Na at (0.000, 0.000, 0.000), Ce at (0.000, 0.000, 0.500) and Rh at (0.500, 0.500, 0.284).

For the energy, the calculation gives -5.786 eV per atom. For the density of states at the Fermi level, the calculation gives 3.33 states/eV/f.u.

Question: What is the formula in the third record?
Answer: NaCeRh2